[1]
The following is a DFT calculation (PBE) of crystalline Li4CaMg15 at its relaxed geometry.

Output
For the density of states at the Fermi level, the calculation gives 8.03 states/eV per cell. The calculation puts the formation energy at -0.026 eV per atom. The calculation puts the size of the total moment at 0.00 μB/f.u. The value obtained for the total DFT energy (no corrections) is -0.125 Ry/atom.

a = 4.5359 Å, b = 4.5359 Å, c = 22.3285 Å
α = 90.00°, β = 90.00°, γ = 90.00°
Sites, in units of the cell vectors:
Li 0.0000 0.0000 0.0955
Li 0.0000 0.0000 0.2917
Li 0.0000 0.0000 0.7083
Li 0.0000 0.0000 0.9045
Ca 0.0000 0.0000 0.5000
Mg 0.0000 0.5000 0.0000
Mg 0.0000 0.5000 0.1930
Mg 0.0000 0.5000 0.3882
Mg 0.0000 0.5000 0.6118
Mg 0.0000 0.5000 0.8070
Mg 0.5000 0.0000 0.0000
Mg 0.5000 0.0000 0.1930
Mg 0.5000 0.0000 0.3882
Mg 0.5000 0.0000 0.6118
Mg 0.5000 0.0000 0.8070
Mg 0.5000 0.5000 0.0966
Mg 0.5000 0.5000 0.2888
Mg 0.5000 0.5000 0.5000
Mg 0.5000 0.5000 0.7112
Mg 0.5000 0.5000 0.9034

[2]
The following is a DFT calculation (PBE) of crystalline LiCaMg2 at its relaxed geometry.

Output
For the density of states at the Fermi level, the calculation gives 2.09 states/eV per cell. The excess energy over the best structure of this formula in the dataset is 52 meV/atom. The calculation puts the formation energy at -0.006 eV per atom. The calculation puts the size of the total moment at 0.00 μB/f.u. The value obtained for the total DFT energy (no corrections) is -0.131 Ry/atom.

a = 6.0232 Å, b = 6.0232 Å, c = 6.0232 Å
α = 141.92°, β = 126.84°, γ = 67.25°
Sites, in units of the cell vectors:
Li 0.0000 0.0000 0.0000
Ca 0.2637 0.7637 0.5000
Mg 0.5372 0.5372 0.0000
Mg 0.7827 0.2827 0.5000

[3]
The following is a DFT calculation (PBE) of crystalline Li5Ca4Mg at its relaxed geometry.

Output
For the density of states at the Fermi level, the calculation gives 6.75 states/eV per cell. The excess energy over the best structure of this formula in the dataset is 19 meV/atom. The calculation puts the formation energy at 0.028 eV per atom. The calculation puts the size of the total moment at 0.00 μB/f.u. The value obtained for the total DFT energy (no corrections) is -0.139 Ry/atom.

a = 7.8407 Å, b = 7.8407 Å, c = 7.8407 Å
α = 97.30°, β = 97.30°, γ = 138.24°
Sites, in units of the cell vectors:
Li 0.0000 0.0000 0.0000
Li 0.0663 0.0663 0.6478
Li 0.0663 0.4184 0.0000
Li 0.4184 0.0663 0.0000
Li 0.4184 0.4184 0.3522
Ca 0.0465 0.7455 0.3010
Ca 0.4444 0.7455 0.6990
Ca 0.7455 0.0465 0.3010
Ca 0.7455 0.4444 0.6990
Mg 0.5020 0.5020 0.0000

[4]
The following is a DFT calculation (PBE) of crystalline Li2Ca3Mg9 at its relaxed geometry.

Output
For the density of states at the Fermi level, the calculation gives 10.49 states/eV per cell. The calculation puts the formation energy at -0.016 eV per atom. The calculation puts the size of the total moment at 0.00 μB/f.u. The value obtained for the total DFT energy (no corrections) is -0.128 Ry/atom.

a = 8.9215 Å, b = 8.9215 Å, c = 8.9215 Å
α = 146.71°, β = 101.39°, γ = 88.08°
Sites, in units of the cell vectors:
Li 0.1564 0.0000 0.1564
Li 0.8436 0.0000 0.8436
Ca 0.2110 0.2110 0.0000
Ca 0.5000 0.5000 0.0000
Ca 0.7890 0.7890 0.0000
Mg 0.0000 0.5000 0.5000
Mg 0.0866 0.3625 0.7242
Mg 0.2359 0.8685 0.3674
Mg 0.3617 0.6375 0.7242
Mg 0.4989 0.1315 0.3674
Mg 0.5011 0.8685 0.6326
Mg 0.6383 0.3625 0.2758
Mg 0.7641 0.1315 0.6326
Mg 0.9134 0.6375 0.2758

[5]
The following is a DFT calculation (PBE) of crystalline LiCaMg at its relaxed geometry.

Output
For the density of states at the Fermi level, the calculation gives 2.02 states/eV per cell. The excess energy over the best structure of this formula in the dataset is 78 meV/atom. The calculation puts the formation energy at -0.003 eV per atom. The calculation puts the size of the total moment at 0.00 μB/f.u. The value obtained for the total DFT energy (no corrections) is -0.135 Ry/atom.

a = 5.1964 Å, b = 5.1964 Å, c = 3.7029 Å
α = 90.00°, β = 90.00°, γ = 120.00°
Sites, in units of the cell vectors:
Li 0.0000 0.0000 0.0000
Ca 0.3333 0.6667 0.5000
Mg 0.6667 0.3333 0.0000

[6]
The following is a DFT calculation (PBE) of crystalline Li2Ca2Mg at its relaxed geometry.

Output
For the density of states at the Fermi level, the calculation gives 7.00 states/eV per cell. The excess energy over the best structure of this formula in the dataset is 28 meV/atom. The calculation puts the formation energy at 0.000 eV per atom. The calculation puts the size of the total moment at 0.00 μB/f.u. The value obtained for the total DFT energy (no corrections) is -0.139 Ry/atom.

a = 6.4369 Å, b = 6.4369 Å, c = 11.3772 Å
α = 115.43°, β = 115.43°, γ = 45.10°
Sites, in units of the cell vectors:
Li 0.0148 0.0148 0.3831
Li 0.1300 0.1300 0.0686
Li 0.8700 0.8700 0.9314
Li 0.9852 0.9852 0.6169
Ca 0.3096 0.3096 0.3918
Ca 0.4953 0.4953 0.8192
Ca 0.5047 0.5047 0.1808
Ca 0.6904 0.6904 0.6082
Mg 0.2233 0.2233 0.8745
Mg 0.7767 0.7767 0.1255